Record 1
BaPa2SnO8 | GGA-PBE | relaxed

Summary:
Raw formation energy (kJ per mole of atoms): -281
M_tot (μB per formula unit): 0.00
Symmetry: Cmmm, No. 65
Fermi-level density of states (states/eV per cell): 0.0
Crystal system: orthorhombic

Cell: 5.195 5.196 7.250 Å, 90.00 90.00 87.22°
Fractional coordinates of all 12 atoms:
Pa (0.500, 0.500, 0.757)
Pa (0.500, 0.500, 0.243)
Sn (0.000, 0.000, 0.000)
O (0.663, 0.662, 0.500)
O (0.206, 0.795, 0.798)
O (0.794, 0.205, 0.798)
O (0.307, 0.307, 0.000)
O (0.337, 0.338, 0.500)
O (0.206, 0.795, 0.202)
O (0.794, 0.205, 0.202)
O (0.693, 0.693, 0.000)
Ba (0.000, 0.000, 0.500)

---

Record 2
Ba2Sr2PaO6 | GGA-PBE | relaxed

Summary:
Raw formation energy (kJ per mole of atoms): -270
M_tot (μB per formula unit): 0.76
Symmetry: C2/m, No. 12
Fermi-level density of states (states/eV per cell): 3.2
Crystal system: monoclinic

Cell: 6.476 6.476 6.329 Å, 100.45 100.45 116.17°
Fractional coordinates of all 11 atoms:
O (0.040, 0.350, 0.720)
O (0.650, 0.960, 0.280)
O (0.960, 0.650, 0.280)
O (0.350, 0.040, 0.720)
O (0.822, 0.822, 0.732)
O (0.178, 0.178, 0.268)
Sr (0.167, 0.833, 0.000)
Sr (0.833, 0.167, 0.000)
Ba (0.656, 0.344, 0.500)
Ba (0.344, 0.656, 0.500)
Pa (0.000, 0.000, 0.500)

---

Record 3
Ba3Sr2PaO8 | GGA-PBE | relaxed

Summary:
Raw formation energy (kJ per mole of atoms): -253
M_tot (μB per formula unit): 1.07
Symmetry: P-3m1, No. 164
Fermi-level density of states (states/eV per cell): 9.8
Crystal system: trigonal

Cell: 6.411 6.411 8.169 Å, 90.00 90.00 120.00°
Fractional coordinates of all 14 atoms:
Ba (0.000, 0.000, 0.000)
Ba (0.333, 0.667, 0.617)
Ba (0.667, 0.333, 0.383)
Sr (0.333, 0.667, 0.183)
Sr (0.667, 0.333, 0.817)
O (0.156, 0.311, 0.339)
O (0.689, 0.844, 0.339)
O (0.311, 0.156, 0.661)
O (0.844, 0.689, 0.661)
O (0.156, 0.844, 0.339)
O (0.333, 0.667, 0.907)
O (0.667, 0.333, 0.093)
O (0.844, 0.156, 0.661)
Pa (0.000, 0.000, 0.500)

---

> What is the M_tot in the third record?

1.07 μB per formula unit

---

> Among the records above, which one has the lowest raw formation energy?

BaPa2SnO8